Run A
Entry from the Alexandria database: a relaxed CsTa2Mo crystal (PBE-GGA).

```
data_CsTa2Mo
_chemical_formula_sum 'Cs4 Ta8 Mo4'
_cell_length_a 6.878
_cell_length_b 6.878
_cell_length_c 6.878
_cell_angle_alpha 90.00
_cell_angle_beta 90.00
_cell_angle_gamma 90.00
_space_group_name_H-M_alt 'F m -3 m'
_space_group_IT_number 225
_space_group_name_Hall '-F 4 2 3'
loop_
_atom_site_label
_atom_site_type_symbol
_atom_site_fract_x
_atom_site_fract_y
_atom_site_fract_z
Cs1 Cs 0.000 0.000 0.000
Ta1 Ta 0.250 0.250 0.250
Mo1 Mo 0.000 0.000 0.500
```

=====

Run B
Entry from the Alexandria database: a relaxed CsTa2Mo crystal (PBE-GGA).

```
data_CsTa2Mo
_chemical_formula_sum 'Cs4 Ta8 Mo4'
_cell_length_a 5.580
_cell_length_b 5.580
_cell_length_c 16.683
_cell_angle_alpha 90.00
_cell_angle_beta 90.00
_cell_angle_gamma 90.00
_space_group_name_H-M_alt 'I -4 2 d'
_space_group_IT_number 122
_space_group_name_Hall 'I -4 2bw'
loop_
_atom_site_label
_atom_site_type_symbol
_atom_site_fract_x
_atom_site_fract_y
_atom_site_fract_z
Cs1 Cs 0.000 0.000 0.000
Ta1 Ta 0.053 0.250 0.625
Mo1 Mo 0.000 0.000 0.500
```

=====

Winner for stability: run A

=====

Run A
Entry from the Alexandria database: a relaxed CsTc3Mo crystal (PBE-GGA).

```
data_CsTc3Mo
_chemical_formula_sum 'Cs1 Tc3 Mo1'
_cell_length_a 4.778
_cell_length_b 4.778
_cell_length_c 4.778
_cell_angle_alpha 90.00
_cell_angle_beta 90.00
_cell_angle_gamma 90.00
_space_group_name_H-M_alt 'P m -3 m'
_space_group_IT_number 221
_space_group_name_Hall '-P 4 2 3'
loop_
_atom_site_label
_atom_site_type_symbol
_atom_site_fract_x
_atom_site_fract_y
_atom_site_fract_z
Cs1 Cs 0.000 0.000 0.000
Tc1 Tc 0.000 0.000 0.500
Mo1 Mo 0.500 0.500 0.500
```

=====

Run B
Entry from the Alexandria database: a relaxed CsTc3Mo crystal (PBE-GGA).

```
data_CsTc3Mo
_chemical_formula_sum 'Cs1 Tc3 Mo1'
_cell_length_a 4.873
_cell_length_b 4.873
_cell_length_c 4.873
_cell_angle_alpha 90.00
_cell_angle_beta 90.00
_cell_angle_gamma 90.00
_space_group_name_H-M_alt 'P m -3 m'
_space_group_IT_number 221
_space_group_name_Hall '-P 4 2 3'
loop_
_atom_site_label
_atom_site_type_symbol
_atom_site_fract_x
_atom_site_fract_y
_atom_site_fract_z
Cs1 Cs 0.000 0.000 0.000
Tc1 Tc 0.000 0.500 0.500
Mo1 Mo 0.500 0.500 0.500
```

=====

Winner for stability: run B

=====

Run A
Entry from the Alexandria database: a relaxed CsTe3Mo crystal (PBE-GGA).

```
data_CsTe3Mo
_chemical_formula_sum 'Cs1 Te3 Mo1'
_cell_length_a 5.494
_cell_length_b 5.494
_cell_length_c 5.494
_cell_angle_alpha 90.00
_cell_angle_beta 90.00
_cell_angle_gamma 90.00
_space_group_name_H-M_alt 'P m -3 m'
_space_group_IT_number 221
_space_group_name_Hall '-P 4 2 3'
loop_
_atom_site_label
_atom_site_type_symbol
_atom_site_fract_x
_atom_site_fract_y
_atom_site_fract_z
Cs1 Cs 0.000 0.000 0.000
Te1 Te 0.000 0.500 0.500
Mo1 Mo 0.500 0.500 0.500
```

=====

Run B
Entry from the Alexandria database: a relaxed CsTe3Mo crystal (PBE-GGA).

```
data_CsTe3Mo
_chemical_formula_sum 'Cs1 Te3 Mo1'
_cell_length_a 6.359
_cell_length_b 6.359
_cell_length_c 6.359
_cell_angle_alpha 90.00
_cell_angle_beta 90.00
_cell_angle_gamma 90.00
_space_group_name_H-M_alt 'P m -3 m'
_space_group_IT_number 221
_space_group_name_Hall '-P 4 2 3'
loop_
_atom_site_label
_atom_site_type_symbol
_atom_site_fract_x
_atom_site_fract_y
_atom_site_fract_z
Cs1 Cs 0.000 0.000 0.000
Te1 Te 0.000 0.000 0.500
Mo1 Mo 0.500 0.500 0.500
```

=====

Winner for stability: run A

=====

Run A
Entry from the Alexandria database: a relaxed CsTiMo3 crystal (PBE-GGA).

```
data_CsTiMo3
_chemical_formula_sum 'Cs1 Ti1 Mo3'
_cell_length_a 4.877
_cell_length_b 4.877
_cell_length_c 4.877
_cell_angle_alpha 90.00
_cell_angle_beta 90.00
_cell_angle_gamma 90.00
_space_group_name_H-M_alt 'P m -3 m'
_space_group_IT_number 221
_space_group_name_Hall '-P 4 2 3'
loop_
_atom_site_label
_atom_site_type_symbol
_atom_site_fract_x
_atom_site_fract_y
_atom_site_fract_z
Cs1 Cs 0.000 0.000 0.000
Ti1 Ti 0.500 0.500 0.500
Mo1 Mo 0.000 0.000 0.500
```

=====

Run B
Entry from the Alexandria database: a relaxed CsTiMo3 crystal (PBE-GGA).

```
data_CsTiMo3
_chemical_formula_sum 'Cs1 Ti1 Mo3'
_cell_length_a 4.903
_cell_length_b 4.903
_cell_length_c 4.903
_cell_angle_alpha 90.00
_cell_angle_beta 90.00
_cell_angle_gamma 90.00
_space_group_name_H-M_alt 'P m -3 m'
_space_group_IT_number 221
_space_group_name_Hall '-P 4 2 3'
loop_
_atom_site_label
_atom_site_type_symbol
_atom_site_fract_x
_atom_site_fract_y
_atom_site_fract_z
Cs1 Cs 0.000 0.000 0.000
Ti1 Ti 0.500 0.500 0.500
Mo1 Mo 0.000 0.500 0.500
```

=====

Winner for stability: run B

=====

Run A
Entry from the Alexandria database: a relaxed CsTiMo2 crystal (PBE-GGA).

```
data_CsTiMo2
_chemical_formula_sum 'Cs4 Ti4 Mo8'
_cell_length_a 6.721
_cell_length_b 6.721
_cell_length_c 6.721
_cell_angle_alpha 90.00
_cell_angle_beta 90.00
_cell_angle_gamma 90.00
_space_group_name_H-M_alt 'F m -3 m'
_space_group_IT_number 225
_space_group_name_Hall '-F 4 2 3'
loop_
_atom_site_label
_atom_site_type_symbol
_atom_site_fract_x
_atom_site_fract_y
_atom_site_fract_z
Cs1 Cs 0.000 0.000 0.000
Ti1 Ti 0.000 0.000 0.500
Mo1 Mo 0.250 0.250 0.250
```

=====

Run B
Entry from the Alexandria database: a relaxed CsTiMo2 crystal (PBE-GGA).

```
data_CsTiMo2
_chemical_formula_sum 'Cs4 Ti4 Mo8'
_cell_length_a 4.830
_cell_length_b 4.830
_cell_length_c 18.270
_cell_angle_alpha 90.00
_cell_angle_beta 90.00
_cell_angle_gamma 90.00
_space_group_name_H-M_alt 'I -4 2 d'
_space_group_IT_number 122
_space_group_name_Hall 'I -4 2bw'
loop_
_atom_site_label
_atom_site_type_symbol
_atom_site_fract_x
_atom_site_fract_y
_atom_site_fract_z
Cs1 Cs 0.000 0.000 0.000
Ti1 Ti 0.000 0.000 0.500
Mo1 Mo 0.076 0.750 0.625
```

=====

Winner for stability: run A

=====

Run A
Entry from the Alexandria database: a relaxed CsV3Mo crystal (PBE-GGA).

```
data_CsV3Mo
_chemical_formula_sum 'Cs1 V3 Mo1'
_cell_length_a 4.700
_cell_length_b 4.700
_cell_length_c 4.700
_cell_angle_alpha 90.00
_cell_angle_beta 90.00
_cell_angle_gamma 90.00
_space_group_name_H-M_alt 'P m -3 m'
_space_group_IT_number 221
_space_group_name_Hall '-P 4 2 3'
loop_
_atom_site_label
_atom_site_type_symbol
_atom_site_fract_x
_atom_site_fract_y
_atom_site_fract_z
Cs1 Cs 0.000 0.000 0.000
V1 V 0.000 0.000 0.500
Mo1 Mo 0.500 0.500 0.500
```

=====

Run B
Entry from the Alexandria database: a relaxed CsV3Mo crystal (PBE-GGA).

```
data_CsV3Mo
_chemical_formula_sum 'Cs1 V3 Mo1'
_cell_length_a 5.012
_cell_length_b 5.012
_cell_length_c 5.012
_cell_angle_alpha 90.00
_cell_angle_beta 90.00
_cell_angle_gamma 90.00
_space_group_name_H-M_alt 'P m -3 m'
_space_group_IT_number 221
_space_group_name_Hall '-P 4 2 3'
loop_
_atom_site_label
_atom_site_type_symbol
_atom_site_fract_x
_atom_site_fract_y
_atom_site_fract_z
Cs1 Cs 0.000 0.000 0.000
V1 V 0.000 0.500 0.500
Mo1 Mo 0.500 0.500 0.500
```

=====

Winner for stability: run B

=====

Run A
Entry from the Alexandria database: a relaxed CsMo2W crystal (PBE-GGA).

```
data_CsMo2W
_chemical_formula_sum 'Cs4 Mo8 W4'
_cell_length_a 6.729
_cell_length_b 6.729
_cell_length_c 6.729
_cell_angle_alpha 90.00
_cell_angle_beta 90.00
_cell_angle_gamma 90.00
_space_group_name_H-M_alt 'F m -3 m'
_space_group_IT_number 225
_space_group_name_Hall '-F 4 2 3'
loop_
_atom_site_label
_atom_site_type_symbol
_atom_site_fract_x
_atom_site_fract_y
_atom_site_fract_z
Cs1 Cs 0.000 0.000 0.000
Mo1 Mo 0.250 0.250 0.250
W1 W 0.000 0.000 0.500
```

=====

Run B
Entry from the Alexandria database: a relaxed CsMo2W crystal (PBE-GGA).

```
data_CsMo2W
_chemical_formula_sum 'Cs4 Mo8 W4'
_cell_length_a 5.222
_cell_length_b 5.222
_cell_length_c 16.957
_cell_angle_alpha 90.00
_cell_angle_beta 90.00
_cell_angle_gamma 90.00
_space_group_name_H-M_alt 'I -4 2 d'
_space_group_IT_number 122
_space_group_name_Hall 'I -4 2bw'
loop_
_atom_site_label
_atom_site_type_symbol
_atom_site_fract_x
_atom_site_fract_y
_atom_site_fract_z
Cs1 Cs 0.000 0.000 0.000
Mo1 Mo 0.057 0.750 0.625
W1 W 0.000 0.000 0.500
```

=====

Winner for stability: run A

=====

Run A
Entry from the Alexandria database: a relaxed CsMoW2 crystal (PBE-GGA).

```
data_CsMoW2
_chemical_formula_sum 'Cs4 Mo4 W8'
_cell_length_a 6.727
_cell_length_b 6.727
_cell_length_c 6.727
_cell_angle_alpha 90.00
_cell_angle_beta 90.00
_cell_angle_gamma 90.00
_space_group_name_H-M_alt 'F m -3 m'
_space_group_IT_number 225
_space_group_name_Hall '-F 4 2 3'
loop_
_atom_site_label
_atom_site_type_symbol
_atom_site_fract_x
_atom_site_fract_y
_atom_site_fract_z
Cs1 Cs 0.000 0.000 0.000
Mo1 Mo 0.000 0.000 0.500
W1 W 0.250 0.250 0.250
```

=====

Run B
Entry from the Alexandria database: a relaxed CsMoW2 crystal (PBE-GGA).

```
data_CsMoW2
_chemical_formula_sum 'Cs4 Mo4 W8'
_cell_length_a 5.267
_cell_length_b 5.267
_cell_length_c 17.202
_cell_angle_alpha 90.00
_cell_angle_beta 90.00
_cell_angle_gamma 90.00
_space_group_name_H-M_alt 'I -4 2 d'
_space_group_IT_number 122
_space_group_name_Hall 'I -4 2bw'
loop_
_atom_site_label
_atom_site_type_symbol
_atom_site_fract_x
_atom_site_fract_y
_atom_site_fract_z
Cs1 Cs 0.000 0.000 0.000
Mo1 Mo 0.000 0.000 0.500
W1 W 0.029 0.750 0.625
```

=====

Winner for stability: run A